No. 1
Entry from Alexandria: LiMn3Cd after structural relaxation (GGA-PBE).

Calculated values
crystal system	cubic

Cell and atoms, written as POSCAR:
```
LiMn3Cd
1.0
4.339 0.000 0.000
0.000 4.339 0.000
0.000 0.000 4.339
Li Mn Cd
1 3 1
direct
0.000 0.000 0.000 Li
0.000 0.000 0.500 Mn
0.000 0.500 0.000 Mn
0.500 0.000 0.000 Mn
0.500 0.500 0.500 Cd
```

=====

No. 2
Entry from Alexandria: LiMn2Cd after structural relaxation (GGA-PBE).

Calculated values
crystal system	tetragonal

Cell and atoms, written as POSCAR:
```
LiMn2Cd
1.0
3.101 0.000 0.000
0.000 3.101 0.000
0.000 0.000 6.409
Li Mn Cd
1 2 1
direct
0.000 0.000 0.000 Li
0.000 0.000 0.436 Mn
0.500 0.500 0.268 Mn
0.500 0.500 0.735 Cd
```

=====

No. 3
Entry from Alexandria: Li2MnCd2 after structural relaxation (GGA-PBE).

Calculated values
crystal system	tetragonal

Cell and atoms, written as POSCAR:
```
Li2MnCd2
1.0
7.603 0.000 0.000
0.000 7.603 0.000
0.000 0.000 2.827
Li Mn Cd
4 2 4
direct
0.154 0.346 0.000 Li
0.346 0.846 0.000 Li
0.654 0.154 0.000 Li
0.846 0.654 0.000 Li
0.000 0.000 0.500 Mn
0.500 0.500 0.500 Mn
0.147 0.647 0.500 Cd
0.353 0.147 0.500 Cd
0.647 0.853 0.500 Cd
0.853 0.353 0.500 Cd
```

=====

No. 4
Entry from Alexandria: LiMnCd2 after structural relaxation (GGA-PBE).

Calculated values
crystal system	trigonal

Cell and atoms, written as POSCAR:
```
LiMnCd2
1.0
2.993 0.000 0.000
-1.497 2.592 0.000
0.000 0.000 28.751
Li Mn Cd
3 3 6
direct
0.000 0.000 0.000 Li
0.333 0.667 0.667 Li
0.667 0.333 0.333 Li
0.000 0.000 0.500 Mn
0.333 0.667 0.167 Mn
0.667 0.333 0.833 Mn
0.000 0.000 0.249 Cd
0.000 0.000 0.751 Cd
0.333 0.667 0.418 Cd
0.333 0.667 0.916 Cd
0.667 0.333 0.084 Cd
0.667 0.333 0.582 Cd
```

=====

No. 5
Entry from Alexandria: LiMnCd2 after structural relaxation (GGA-PBE).

Calculated values
crystal system	orthorhombic

Cell and atoms, written as POSCAR:
```
LiMnCd2
1.0
3.303 0.000 0.000
0.000 4.703 0.000
0.000 0.000 9.451
Li Mn Cd
2 2 4
direct
0.000 0.000 0.000 Li
0.500 0.500 0.500 Li
0.000 0.500 0.750 Mn
0.500 0.000 0.250 Mn
0.000 0.000 0.496 Cd
0.000 0.500 0.254 Cd
0.500 0.000 0.754 Cd
0.500 0.500 0.996 Cd
```

=====

No. 6
Entry from Alexandria: LiMn2Cd after structural relaxation (GGA-PBE).

Calculated values
crystal system	orthorhombic

Cell and atoms, written as POSCAR:
```
LiMn2Cd
1.0
3.141 0.000 0.000
0.000 4.463 0.000
0.000 0.000 9.241
Li Mn Cd
2 4 2
direct
0.000 0.000 0.000 Li
0.500 0.500 0.500 Li
0.000 0.500 0.254 Mn
0.000 0.500 0.746 Mn
0.500 0.000 0.246 Mn
0.500 0.000 0.754 Mn
0.000 0.000 0.500 Cd
0.500 0.500 0.000 Cd
```

=====

No. 7
Entry from Alexandria: LiMn2Cd after structural relaxation (GGA-PBE).

Calculated values
crystal system	monoclinic

Cell and atoms, written as POSCAR:
```
LiMn2Cd
1.0
2.774 0.000 0.000
0.000 4.503 0.000
-1.230 0.000 5.179
Li Mn Cd
1 2 1
direct
0.000 0.000 0.000 Li
0.171 0.500 0.768 Mn
0.829 0.500 0.232 Mn
0.500 0.000 0.500 Cd
```

=====

No. 8
Entry from Alexandria: LiMnCd2 after structural relaxation (GGA-PBE).

Calculated values
crystal system	tetragonal

Cell and atoms, written as POSCAR:
```
LiMnCd2
1.0
3.344 0.000 0.000
0.000 3.344 0.000
0.000 0.000 6.555
Li Mn Cd
1 1 2
direct
0.000 0.000 0.000 Li
0.500 0.500 0.228 Mn
0.000 0.000 0.471 Cd
0.500 0.500 0.772 Cd
```

=====

| no. | formation enthalpy at 0 K (meV per atom) |
| --- | --- |
| 1 | 945.7 |
| 2 | 147.7 |
| 3 | 431.8 |
| 4 | 94.7 |
| 5 | 96.8 |
| 6 | 321.8 |
| 7 | 333.0 |
| 8 | 119.8 |